A plane-wave DFT calculation with GGA-PBE was carried out for crystalline Na6HgGe2 at its relaxed geometry.

a b c (Å): 10.1524 5.1783 9.3352
angles (deg): 90.00 101.99 90.00
Space group C2/m (No. 12)
Unique sites:
Na 0.0181 0.0000 0.2263 x4
Na 0.1761 0.5000 0.0780 x4
Na 0.2113 0.0000 0.5797 x4
Hg 0.0000 0.5000 0.5000 x2
Ge 0.1681 0.5000 0.7543 x4

Values from the calculation:
- energy relative to the elements (kJ/mol of formula units) = -104
- E above lowest polymorph (meV per atom) = 0